[1]
## LaTl2Pd8 (PBE)

Data for an optimized crystal structure of LaTl2Pd8.

Unit cell a=7.6225 b=14.3123 c=5.0153 alpha=90.00 beta=131.04 gamma=90.00
Closest atoms and distances in Å follow each position.
Space group C2/m (No. 12)
Asymmetric unit:
1 La 0.0000 0.0000 0.0000  4 Pd 2.80-3.02
2 Tl 0.0000 0.3162 0.5000  12 Pd 2.88-3.04
3 Pd 0.0000 0.1957 0.0000  1 La 2.80, 6 Pd 2.83-3.02, 4 Tl 2.88-3.04
4 Pd 0.0217 0.5000 0.7715  6 Pd 2.52-2.82
5 Pd 0.2387 0.1368 0.7286  7 Pd 2.73-3.02, 3 Tl 2.91-3.04

Formation energy from the elements in eV/atom: -0.33
M_tot in μB/atom: 0.000
Total energy in eV/atom: -4.982

[2]
## K4Pa3SnN8 (PBE)

Data for an optimized crystal structure of K4Pa3SnN8.

Unit cell a=12.2848 b=7.0418 c=7.6424 alpha=90.00 beta=122.16 gamma=90.00
Closest atoms and distances in Å follow each position.
Space group C2/m (No. 12)
Asymmetric unit:
1 K 0.0000 0.0000 0.0000  6 N 2.92-2.93
2 K 0.0000 0.5000 0.0000  6 N 2.95-3.01
3 K 0.2500 0.2500 0.0000  6 N 2.96-2.99
4 Pa 0.0000 0.0000 0.5000  6 N 2.30
5 Pa 0.2500 0.2500 0.5000  6 N 2.28-2.33
6 Sn 0.0000 0.5000 0.5000  6 N 2.33-2.38
7 N 0.0269 0.2471 0.3289  2 Pa 2.30-2.33, 1 Sn 2.33
8 N 0.2204 0.0000 0.6606  3 Pa 2.28-2.30
9 N 0.2280 0.5000 0.6720  2 Pa 2.30, 1 Sn 2.38

Formation energy (no corrections) in meV/atom: -753
M_tot in μB/atom: 0.000
Total energy in eV/atom: -7.221

[3]
## Tb3GdC (PBE)

Data for an optimized crystal structure of Tb3GdC.

Unit cell a=5.0817 b=5.0817 c=5.0817 alpha=90.00 beta=90.00 gamma=90.00
Closest atoms and distances in Å follow each position.
Space group Pm-3m (No. 221)
Asymmetric unit:
1 Tb 0.0000 0.0000 0.5000  2 C 2.54
2 Gd 0.5000 0.5000 0.5000  12 Tb 3.59
3 C 0.0000 0.0000 0.0000  6 Tb 2.54

Formation energy from the elements in eV/atom: 0.00
M_tot in μB/atom: 1.725
Total energy in eV/atom: -7.436

[4]
## Y2CdSi2 (PBE)

Data for an optimized crystal structure of Y2CdSi2.

Unit cell a=5.0700 b=5.0700 c=10.3914 alpha=90.00 beta=90.00 gamma=90.00
Closest atoms and distances in Å follow each position.
Space group I4/mmm (No. 139)
Asymmetric unit:
1 Y 0.0000 0.5000 0.2500  4 Si 2.92
2 Cd 0.0000 0.0000 0.0000  8 Y 3.63, 10 Si 3.77-4.04
3 Si 0.0000 0.0000 0.3888  1 Si 2.31

Formation energy (no corrections) in meV/atom: -132
M_tot in μB/atom: 0.000
Total energy in eV/atom: -5.070

[5]
## CeVAs3 (PBE)

Data for an optimized crystal structure of CeVAs3.

Unit cell a=12.3614 b=5.7346 c=5.6127 alpha=90.00 beta=90.00 gamma=90.00
Closest atoms and distances in Å follow each position.
Space group Pbcm (No. 57)
Asymmetric unit:
1 Ce 0.1884 0.0043 0.2500  9 As 3.01-3.12
2 V 0.4168 0.7500 0.0000  6 As 2.50-2.57
3 As 0.0014 0.7500 0.0000  4 As 2.81-2.87, 4 Ce 3.07
4 As 0.2831 0.5083 0.2500  2 V 2.57
5 As 0.4269 0.1109 0.2500  4 V 2.50-2.52

Formation energy from the elements in eV/atom: -0.78
M_tot in μB/atom: 0.200
Total energy in eV/atom: -6.582

[6]
## DyPuSnRh (PBE)

Data for an optimized crystal structure of DyPuSnRh.

Unit cell a=7.2344 b=7.2344 c=7.2344 alpha=90.00 beta=90.00 gamma=90.00
Closest atoms and distances in Å follow each position.
Space group F-43m (No. 216)
Asymmetric unit:
1 Dy 0.0000 0.0000 0.0000  4 Sn 3.13, 4 Rh 3.13
2 Pu 0.0000 0.0000 0.5000  4 Rh 3.13, 4 Sn 3.13
3 Sn 0.2500 0.2500 0.2500  4 Dy 3.13, 4 Pu 3.13
4 Rh 0.2500 0.2500 0.7500  4 Dy 3.13, 4 Pu 3.13

Formation energy from the elements in eV/atom: -0.41
M_tot in μB/atom: 1.249
Total energy in eV/atom: -7.977

[7]
## Sm2Al5Cu12 (PBE)

Data for an optimized crystal structure of Sm2Al5Cu12.

Unit cell a=8.7412 b=8.7412 c=12.8445 alpha=90.00 beta=90.00 gamma=120.00
Closest atoms and distances in Å follow each position.
Space group R-3m (No. 166, hexagonal axes)
Asymmetric unit:
1 Sm 0.0000 0.0000 0.1526  15 Cu 3.10-3.33, 4 Al 3.20-3.43
2 Al 0.0000 0.0000 0.4018  4 Al 2.52-2.67, 3 Cu 2.72
3 Al 0.0000 0.5000 0.0000  8 Cu 2.51-2.52, 2 Al 2.67
4 Cu 0.0000 0.2925 0.5000  2 Al 2.51, 6 Cu 2.56-2.67
5 Cu 0.0023 0.5011 0.3481  3 Al 2.52-2.72, 6 Cu 2.57-2.67

Formation energy from the elements in eV/atom: -0.26
M_tot in μB/atom: 0.000
Total energy in eV/atom: -4.333

[8]
## Ce2Si7Ru12 (PBE)

Data for an optimized crystal structure of Ce2Si7Ru12.

Unit cell a=9.6384 b=9.6384 c=3.9537 alpha=90.00 beta=90.00 gamma=120.00
Closest atoms and distances in Å follow each position.
Space group P-6 (No. 174)
Asymmetric unit:
1 Ce 0.0000 0.0000 0.0000  6 Si 3.09, 9 Ru 3.14-3.36
2 Ce 0.3333 0.6667 0.5000  6 Si 3.16, 12 Ru 3.17-3.45
3 Si 0.0602 0.4332 0.0000  7 Ru 2.42-2.52
4 Si 0.2639 0.2254 0.5000  5 Ru 2.36-2.47
5 Si 0.6667 0.3333 0.5000  3 Ru 2.31
6 Ru 0.0360 0.2686 0.5000  4 Si 2.38-2.47, 1 Ru 2.63
7 Ru 0.1027 0.7138 0.0000  4 Si 2.42-2.52
8 Ru 0.4575 0.2247 0.0000  5 Si 2.44-2.72
9 Ru 0.5173 0.4600 0.5000  4 Si 2.31-2.44

Formation energy (no corrections) in meV/atom: -600
M_tot in μB/atom: 0.000
Total energy in eV/atom: -8.274

[9]
## Pm2Re2Ge2C (PBE)

Data for an optimized crystal structure of Pm2Re2Ge2C.

Unit cell a=11.0699 b=4.0785 c=7.1652 alpha=90.00 beta=125.85 gamma=90.00
Closest atoms and distances in Å follow each position.
Space group C2/m (No. 12)
Asymmetric unit:
1 Pm 0.0694 0.0000 0.2953  2 C 2.71
2 Re 0.2023 0.5000 0.0798  1 C 1.96
3 Ge 0.1482 0.5000 0.6818  3 Re 2.55, 1 Ge 2.75
4 C 0.0000 0.5000 0.0000  2 Re 1.96

Formation energy from the elements in eV/atom: -0.50
M_tot in μB/atom: 0.000
Total energy in eV/atom: -8.046

[10]
## CeZrCu4 (PBE)

Data for an optimized crystal structure of CeZrCu4.

Unit cell a=4.3421 b=4.3421 c=6.3404 alpha=90.00 beta=90.00 gamma=120.00
Closest atoms and distances in Å follow each position.
Space group P6/mmm (No. 191)
Asymmetric unit:
1 Ce 0.0000 0.0000 0.0000  12 Cu 3.10, 2 Zr 3.17
2 Zr 0.0000 0.0000 0.5000  12 Cu 2.85, 2 Ce 3.17
3 Cu 0.3333 0.6667 0.2875  4 Cu 2.51-2.69

Formation energy from the elements in eV/atom: -0.15
M_tot in μB/atom: 0.124
E above lowest polymorph in kJ/mol of formula units: 0
Total energy in eV/atom: -5.291

[11]
## SrTl2GeI6 (PBE)

Data for an optimized crystal structure of SrTl2GeI6.

Unit cell a=8.4955 b=8.4955 c=21.6757 alpha=90.00 beta=90.00 gamma=120.00
Closest atoms and distances in Å follow each position.
Space group R3 (No. 146, hexagonal axes)
Asymmetric unit:
1 Sr 0.0000 0.0000 0.0000  6 I 3.28-3.33
2 Tl 0.0000 0.0000 0.2948  6 I 3.54-3.57
3 Tl 0.0000 0.0000 0.7961  6 I 3.53-3.59
4 Ge 0.0000 0.0000 0.4983  6 I 3.04-3.05
5 I 0.0073 0.4005 0.2410  1 Ge 3.04, 1 Sr 3.33
6 I 0.0748 0.7162 0.0800  1 Ge 3.05, 1 Sr 3.28

Formation energy (no corrections) in meV/atom: -834
M_tot in μB/atom: 0.000
Total energy in eV/atom: -2.867

[12]
## Cs3Tm3PuSe8 (PBE)

Data for an optimized crystal structure of Cs3Tm3PuSe8.

Unit cell a=8.3400 b=8.3400 c=25.5611 alpha=90.00 beta=90.00 gamma=120.00
Closest atoms and distances in Å follow each position.
Space group R-3m (No. 166, hexagonal axes)
Asymmetric unit:
1 Cs 0.0000 0.5000 0.0000  6 Se 3.62-3.63
2 Tm 0.0000 0.5000 0.5000  6 Se 2.86
3 Pu 0.0000 0.0000 0.5000  6 Se 2.86
4 Se 0.0000 0.0000 0.2274  3 Tm 2.86
5 Se 0.0000 0.5000 0.2269  2 Tm 2.86, 1 Pu 2.86

Formation energy (no corrections) in meV/atom: -1631
M_tot in μB/atom: 0.267
Total energy in eV/atom: -5.510